1.
PmYIO6 after structural relaxation, computed with GGA-PBE.

a = 5.6572 Å, b = 5.6572 Å, c = 9.7997 Å
α = 90.00°, β = 90.00°, γ = 120.00°
Fractional coordinates of all 18 atoms:
Pm 0.0000 0.0000 0.0000
Pm 0.0000 0.0000 0.5000
Y 0.3333 0.6667 0.2500
Y 0.6667 0.3333 0.7500
I 0.3333 0.6667 0.7500
I 0.6667 0.3333 0.2500
O 0.0356 0.3689 0.6364
O 0.0356 0.6667 0.8636
O 0.3333 0.3689 0.8636
O 0.3333 0.9644 0.6364
O 0.3689 0.0356 0.1364
O 0.3689 0.3333 0.3636
O 0.6311 0.6667 0.6364
O 0.6311 0.9644 0.8636
O 0.6667 0.0356 0.3636
O 0.6667 0.6311 0.1364
O 0.9644 0.3333 0.1364
O 0.9644 0.6311 0.3636

Summary:
Magnetization, μB/cell: 0.00
ρ, g cm⁻³: 5.59
ΔE_f (raw), kcal/mol of atoms: -46.53
SG: P-31c (163)

***

2.
Pm2YIO8 after structural relaxation, computed with GGA-PBE.

a = 5.1355 Å, b = 6.9506 Å, c = 5.1365 Å
α = 90.00°, β = 91.07°, γ = 90.00°
Fractional coordinates of all 12 atoms:
Pm 0.0000 0.2505 0.0000
Pm 0.0000 0.7495 0.0000
Y 0.5000 0.0000 0.5000
I 0.5000 0.5000 0.5000
O 0.1955 0.0000 0.1962
O 0.2367 0.5000 0.2381
O 0.3242 0.2945 0.6769
O 0.3242 0.7055 0.6769
O 0.6758 0.2945 0.3231
O 0.6758 0.7055 0.3231
O 0.7633 0.5000 0.7619
O 0.8045 0.0000 0.8038

Summary:
Magnetization, μB/cell: 0.00
ρ, g cm⁻³: 5.74
ΔE_f (raw), kcal/mol of atoms: -52.44
SG: P2/m (10)

***

3.
PmZnIO6 after structural relaxation, computed with GGA-PBE.

a = 5.2827 Å, b = 5.2827 Å, c = 5.0227 Å
α = 90.00°, β = 90.00°, γ = 120.00°
Fractional coordinates of all 9 atoms:
Pm 0.0000 0.0000 0.0000
Zn 0.3333 0.6667 0.5000
I 0.6667 0.3333 0.5000
O 0.3773 0.0305 0.7165
O 0.3773 0.3467 0.2835
O 0.6533 0.0305 0.2835
O 0.6533 0.6227 0.7165
O 0.9695 0.3467 0.7165
O 0.9695 0.6227 0.2835

Summary:
Magnetization, μB/cell: 0.00
ρ, g cm⁻³: 5.93
ΔE_f (raw), kcal/mol of atoms: -34.28
SG: P312 (149)